Record 1
4
Lattice="-0.572 2.283 2.595 -2.674 1.375 -1.799 -5.135 -5.331 3.558" Properties=species:S:1:pos:R:3 comment="PmPuRhPb PBE relaxed" e_above_lowest_polymorph_mev_per_atom=0.0 ef_ev_per_fu=-1.7 density_g_cm3=11.52 dos_ef_per_ev_cell=12.82 final_energy_ev_per_atom=-7.960 space_group="P4mm (99)" volume_a3_per_fu=100.8 pbc="T T T"
Pu -3.499 -0.118 1.697
Rh -2.903 -3.013 2.011
Pm -5.623 -2.324 3.169
Pb -0.386 -0.401 0.268

=====

Record 2
4
Lattice="5.233 0.000 0.000 2.616 4.532 0.000 2.616 1.511 4.273" Properties=species:S:1:pos:R:3 comment="PmPuRhPb PBE relaxed" e_above_lowest_polymorph_mev_per_atom=195.6 ef_ev_per_fu=-0.9 density_g_cm3=11.46 dos_ef_per_ev_cell=10.27 final_energy_ev_per_atom=-7.765 space_group="F-43m (216)" volume_a3_per_fu=101.3 pbc="T T T"
Pu 2.616 1.511 1.068
Pm 7.849 4.532 3.204
Rh 5.233 3.021 2.136
Pb 0.000 0.000 0.000

=====

Record 3
4
Lattice="-4.452 -2.211 2.252 -0.660 -5.417 -0.010 0.408 -2.807 4.662" Properties=species:S:1:pos:R:3 comment="PmPuSbPb PBE relaxed" raw_formation_energy_ev_per_fu=-1.73 density_g_cm3=10.38 dos_ef_per_ev_cell=13.98 final_energy_ev_per_atom=-7.162 space_group="F-43m (216)" volume_a3_per_fu=114.9 pbc="T T T"
Pu -1.176 -2.609 1.726
Sb 0.000 0.000 0.000
Pb -2.352 -5.217 3.452
Pm -3.528 -7.826 5.177

=====

Record 4
4
Lattice="5.545 0.000 0.000 2.773 4.802 0.000 2.773 1.601 4.528" Properties=species:S:1:pos:R:3 comment="PmSmPuPb PBE relaxed" ef_ev_per_fu=0.0 density_g_cm3=10.28 dos_ef_per_ev_cell=12.49 final_energy_ev_per_atom=-6.869 space_group="F-43m (216)" volume_a3_per_fu=120.6 pbc="T T T"
Pm 0.000 0.000 0.000
Pu 5.545 3.202 2.264
Sm 2.773 1.601 1.132
Pb 8.318 4.802 3.396

=====

Record 5
4
Lattice="-0.716 -5.329 0.893 0.472 -3.541 -4.117 4.260 -3.394 -0.201" Properties=species:S:1:pos:R:3 comment="PmPuSnPb PBE relaxed" ef_ev_per_fu=-1.4 density_g_cm3=10.37 dos_ef_per_ev_cell=11.78 final_energy_ev_per_atom=-7.039 space_group="F-43m (216)" volume_a3_per_fu=114.5 pbc="T T T"
Sn 1.004 -3.066 -0.856
Pm 2.008 -6.132 -1.712
Pu 0.000 0.000 0.000
Pb 3.012 -9.197 -2.569

=====

Record 6
4
Lattice="-3.603 -2.465 -3.295 -4.533 -2.236 2.090 -4.870 2.306 -0.939" Properties=species:S:1:pos:R:3 comment="PmPuTePb PBE relaxed" raw_formation_energy_ev_per_fu=-2.30 density_g_cm3=10.39 dos_ef_per_ev_cell=12.41 final_energy_ev_per_atom=-7.058 space_group="F-43m (216)" volume_a3_per_fu=115.7 pbc="T T T"
Te -6.503 -1.197 -1.072
Pm -3.252 -0.599 -0.536
Pu -9.755 -1.796 -1.608
Pb 0.000 0.000 0.000

=====

Record 7
4
Lattice="-0.338 2.384 3.228 0.129 -3.232 2.400 7.129 0.542 0.346" Properties=species:S:1:pos:R:3 comment="PmPuTlPb PBE relaxed" e_above_lowest_polymorph_mev_per_atom=0.0 ef_ev_per_fu=-0.9 density_g_cm3=11.45 dos_ef_per_ev_cell=11.62 final_energy_ev_per_atom=-6.511 space_group="P4mm (99)" volume_a3_per_fu=116.1 pbc="T T T"
Pm 6.115 0.465 0.297
Tl 4.229 -0.094 3.025
Pb 0.656 -0.366 2.851
Pu 2.535 0.193 0.123

=====

Record 8
4
Lattice="-4.046 -1.839 -3.219 1.098 -3.580 -4.012 -1.695 -5.202 0.425" Properties=species:S:1:pos:R:3 comment="PmPuTlPb PBE relaxed" e_above_lowest_polymorph_mev_per_atom=4.2 ef_ev_per_fu=-0.9 density_g_cm3=11.37 dos_ef_per_ev_cell=11.62 final_energy_ev_per_atom=-6.507 space_group="F-43m (216)" volume_a3_per_fu=116.9 pbc="T T T"
Pu -3.483 -7.966 -5.105
Pm -1.161 -2.655 -1.702
Pb -2.322 -5.311 -3.403
Tl 0.000 0.000 0.000